(1)
TbTcGe | PBE | relaxed

abc: 4.0348 4.0348 7.3202
angles: 90.00 90.00 90.00
Sites, in units of the cell vectors:
1 Tc 0.0000 0.0000 0.5000
2 Tb 0.0000 0.5000 0.8392
3 Ge 0.5000 0.0000 0.7245
4 Tb 0.5000 0.0000 0.1608
5 Ge 0.0000 0.5000 0.2755
6 Tc 0.5000 0.5000 0.5000

Calculated values
space-group type = P4/nmm
calculated formation energy = -0.51 eV/atom
total DFT energy (no corrections) = -42.27 eV/cell
M_tot = 0.00 μB per formula unit
E above lowest polymorph = 0 kJ/mol of formula units

(2)
AcCePmCo2 | PBE | relaxed

abc: 3.9758 8.7892 7.7782
angles: 84.89 75.19 76.93
Sites, in units of the cell vectors:
1 Co 0.8437 0.2310 0.0816
2 Pm 0.3940 0.3555 0.8564
3 Ce 0.8923 0.9933 0.2221
4 Pm 0.6060 0.6445 0.1436
5 Ac 0.1538 0.2989 0.3935
6 Ce 0.1077 0.0067 0.7779
7 Co 0.6628 0.0845 0.5899
8 Ac 0.8462 0.7011 0.6065
9 Co 0.3372 0.9155 0.4101
10 Co 0.1563 0.7690 0.9184

Calculated values
space-group type = C2/m
calculated formation energy = -0.07 eV/atom
total DFT energy (no corrections) = -58.75 eV/cell
M_tot = 0.00 μB per formula unit